[1]
The following is a PBE-GGA calculation of a relaxed structure of Sc5Fe, from the Alexandria database.

Lattice parameters (Å, degrees): 5.805 5.805 5.805 60.00 60.00 60.00
Positions (direct):
Sc 0.000 0.000 0.000
Sc 0.126 0.625 0.625
Sc 0.625 0.126 0.625
Sc 0.625 0.625 0.126
Sc 0.625 0.625 0.625
Fe 0.250 0.250 0.250

Properties
offset from the most stable computed form	568.6	meV/atom
ΔE_f	51.1	kJ per mole of atoms



[2]
The following is a PBE-GGA calculation of a relaxed structure of La12H5Ru3, from the Alexandria database.

Lattice parameters (Å, degrees): 13.688 13.688 13.688 109.47 109.47 109.47
Positions (direct):
La 0.035 0.222 0.123
La 0.035 0.313 0.912
La 0.088 0.623 0.401
La 0.088 0.965 0.687
La 0.099 0.722 0.687
La 0.099 0.877 0.412
La 0.123 0.035 0.222
La 0.123 0.588 0.901
La 0.187 0.222 0.599
La 0.187 0.465 0.588
La 0.222 0.123 0.035
La 0.222 0.599 0.187
La 0.278 0.313 0.901
La 0.278 0.465 0.377
La 0.313 0.901 0.278
La 0.313 0.912 0.035
La 0.377 0.278 0.465
La 0.377 0.599 0.912
La 0.401 0.088 0.623
La 0.401 0.813 0.778
La 0.412 0.099 0.877
La 0.412 0.813 0.535
La 0.465 0.377 0.278
La 0.465 0.588 0.187
La 0.535 0.412 0.813
La 0.535 0.623 0.722
La 0.588 0.187 0.465
La 0.588 0.901 0.123
La 0.599 0.187 0.222
La 0.599 0.912 0.377
La 0.623 0.401 0.088
La 0.623 0.722 0.535
La 0.687 0.088 0.965
La 0.687 0.099 0.722
La 0.722 0.535 0.623
La 0.722 0.687 0.099
La 0.778 0.401 0.813
La 0.778 0.877 0.965
La 0.813 0.535 0.412
La 0.813 0.778 0.401
La 0.877 0.412 0.099
La 0.877 0.965 0.778
La 0.901 0.123 0.588
La 0.901 0.278 0.313
La 0.912 0.035 0.313
La 0.912 0.377 0.599
La 0.965 0.687 0.088
La 0.965 0.778 0.877
H 0.000 0.000 0.000
H 0.000 0.000 0.500
H 0.000 0.500 0.000
H 0.000 0.500 0.500
H 0.125 0.750 0.875
H 0.125 0.875 0.250
H 0.250 0.125 0.875
H 0.250 0.625 0.375
H 0.375 0.250 0.625
H 0.375 0.625 0.750
H 0.500 0.000 0.000
H 0.500 0.000 0.500
H 0.500 0.500 0.000
H 0.500 0.500 0.500
H 0.625 0.375 0.250
H 0.625 0.750 0.375
H 0.750 0.375 0.625
H 0.750 0.875 0.125
H 0.875 0.125 0.750
H 0.875 0.250 0.125
Ru 0.125 0.250 0.375
Ru 0.125 0.375 0.750
Ru 0.250 0.375 0.125
Ru 0.250 0.875 0.625
Ru 0.375 0.125 0.250
Ru 0.375 0.750 0.125
Ru 0.625 0.250 0.875
Ru 0.625 0.875 0.750
Ru 0.750 0.125 0.375
Ru 0.750 0.625 0.875
Ru 0.875 0.625 0.250
Ru 0.875 0.750 0.625

Properties
total energy	-436.95	eV for the cell shown



Number 1: D(E_F) 12.893 states/eV per cell. Number 2: D(E_F) 57.838 states/eV per cell.